No. 1
A plane-wave DFT calculation with GGA-PBE was carried out for Rb3Y2NpO6 after structural relaxation.

Cell lengths 6.148, 6.148, 6.890 Å; angles 98.55, 98.55, 120.00 degrees
Sites, in units of the cell vectors:
Rb: 0.000 0.000 0.000
Rb: 0.332 0.668 0.000
Rb: 0.668 0.332 0.000
Y: 0.167 0.833 0.500
Y: 0.833 0.167 0.500
Np: 0.500 0.500 0.500
O: 0.107 0.442 0.325
O: 0.224 0.224 0.675
O: 0.442 0.107 0.325
O: 0.558 0.893 0.675
O: 0.776 0.776 0.325
O: 0.893 0.558 0.675

Computed properties:
Its total energy is -0.5411 Ry/atom. As for the total magnetization: 4.00 μB per formula unit. As for the symmetry: C2/m, No. 12.

=====

No. 2
A plane-wave DFT calculation with GGA-PBE was carried out for Rb2NpZnO6 after structural relaxation.

Cell lengths 5.939, 5.939, 5.939 Å; angles 60.00, 60.00, 60.00 degrees
Sites, in units of the cell vectors:
Rb: 0.250 0.250 0.250
Rb: 0.750 0.750 0.750
Np: 0.000 0.000 0.000
Zn: 0.500 0.500 0.500
O: 0.240 0.240 0.760
O: 0.240 0.760 0.240
O: 0.240 0.760 0.760
O: 0.760 0.240 0.240
O: 0.760 0.240 0.760
O: 0.760 0.760 0.240

Computed properties:
Its total energy is -0.4764 Ry/atom. As for the total magnetization: 0.73 μB per formula unit. As for the symmetry: Fm-3m, No. 225.

=====

No. 3
A plane-wave DFT calculation with GGA-PBE was carried out for RbNpZnO5 after structural relaxation.

Cell lengths 6.255, 6.255, 8.155 Å; angles 106.26, 106.26, 104.83 degrees
Sites, in units of the cell vectors:
Rb: 0.170 0.830 0.750
Rb: 0.830 0.170 0.250
Np: 0.500 0.500 0.000
Np: 0.500 0.500 0.500
Zn: 0.193 0.807 0.250
Zn: 0.807 0.193 0.750
O: 0.158 0.288 0.892
O: 0.235 0.608 0.400
O: 0.288 0.158 0.392
O: 0.392 0.765 0.100
O: 0.446 0.554 0.750
O: 0.554 0.446 0.250
O: 0.608 0.235 0.900
O: 0.712 0.842 0.608
O: 0.765 0.392 0.600
O: 0.842 0.712 0.108

Computed properties:
Its total energy is -0.5245 Ry/atom. As for the total magnetization: 0.00 μB per formula unit. As for the symmetry: C2/c, No. 15.

=====

No. 4
A plane-wave DFT calculation with GGA-PBE was carried out for Rb3NpZn2O6 after structural relaxation.

Cell lengths 6.218, 6.218, 7.366 Å; angles 90.00, 90.00, 120.00 degrees
Sites, in units of the cell vectors:
Rb: 0.000 0.000 0.000
Rb: 0.333 0.667 0.736
Rb: 0.667 0.333 0.264
Np: 0.000 0.000 0.500
Zn: 0.333 0.667 0.310
Zn: 0.667 0.333 0.690
O: 0.158 0.317 0.320
O: 0.158 0.842 0.320
O: 0.317 0.158 0.680
O: 0.683 0.842 0.320
O: 0.842 0.158 0.680
O: 0.842 0.683 0.680

Computed properties:
Its total energy is -0.4296 Ry/atom. As for the total magnetization: 2.01 μB per formula unit. As for the symmetry: P-3m1, No. 164.

=====

No. 5
A plane-wave DFT calculation with GGA-PBE was carried out for RbNpZn2O6 after structural relaxation.

Cell lengths 7.157, 7.157, 6.655 Å; angles 95.59, 95.59, 97.52 degrees
Sites, in units of the cell vectors:
Rb: 0.089 0.911 0.750
Rb: 0.911 0.089 0.250
Np: 0.298 0.702 0.250
Np: 0.702 0.298 0.750
Zn: 0.248 0.401 0.879
Zn: 0.401 0.248 0.379
Zn: 0.599 0.752 0.621
Zn: 0.752 0.599 0.121
O: 0.014 0.696 0.220
O: 0.274 0.397 0.194
O: 0.304 0.986 0.280
O: 0.308 0.685 0.958
O: 0.315 0.692 0.542
O: 0.397 0.274 0.694
O: 0.603 0.726 0.306
O: 0.685 0.308 0.458
O: 0.692 0.315 0.042
O: 0.696 0.014 0.720
O: 0.726 0.603 0.806
O: 0.986 0.304 0.780

Computed properties:
Its total energy is -0.4813 Ry/atom. As for the total magnetization: 0.00 μB per formula unit. As for the symmetry: C2/c, No. 15.

=====

No. 6
A plane-wave DFT calculation with GGA-PBE was carried out for Rb2Np3ZnO12 after structural relaxation.

Cell lengths 7.494, 7.494, 7.494 Å; angles 63.75, 63.75, 63.75 degrees
Sites, in units of the cell vectors:
Rb: 0.125 0.125 0.125
Rb: 0.875 0.875 0.875
Np: 0.000 0.500 0.500
Np: 0.500 0.000 0.500
Np: 0.500 0.500 0.000
Zn: 0.500 0.500 0.500
O: 0.179 0.563 0.563
O: 0.180 0.180 0.568
O: 0.180 0.568 0.180
O: 0.432 0.820 0.820
O: 0.437 0.437 0.821
O: 0.437 0.821 0.437
O: 0.563 0.179 0.563
O: 0.563 0.563 0.179
O: 0.568 0.180 0.180
O: 0.820 0.432 0.820
O: 0.820 0.820 0.432
O: 0.821 0.437 0.437

Computed properties:
Its total energy is -0.5912 Ry/atom. As for the total magnetization: 1.01 μB per formula unit. As for the symmetry: R-3m, No. 166.